An optimized crystal structure of Bi2Pt, computed with PBE-GGA.

The structure in extended XYZ format:
```
6
Lattice="4.2743 2.4678 6.9799 -4.2743 2.4678 6.9799 0.0000 -4.9355 6.9799" Properties=species:S:1:pos:R:3 pbc="T T T"
Bi 0.0000 0.0000 7.8524
Bi 2.1372 1.2339 11.3423
Bi -2.1372 1.2339 11.3423
Bi 0.0000 -2.4678 11.3423
Pt 0.0000 0.0000 5.2349
Pt 0.0000 0.0000 10.4698
```

Results
Energy (eV/f.u.): -11.6
Volume (Å³/cell): 441.7

An optimized crystal structure of FePb, computed with PBE-GGA.

The structure in extended XYZ format:
```
4
Lattice="4.7872 0.0000 0.0000 0.0000 4.7872 0.0000 0.0000 0.0000 3.3709" Properties=species:S:1:pos:R:3 pbc="T T T"
Fe 0.0000 0.0000 0.0000
Fe 2.3936 2.3936 0.0000
Pb 2.3936 0.0000 1.6741
Pb 0.0000 2.3936 1.6969
```

Results
Energy (eV/f.u.): -10.7
Volume (Å³/cell): 77.3

An optimized crystal structure of InAs5Os3, computed with PBE-GGA.

The structure in extended XYZ format:
```
9
Lattice="5.5357 0.0000 0.0000 -2.7678 4.7940 0.0000 0.0000 0.0000 7.2336" Properties=species:S:1:pos:R:3 pbc="T T T"
As 2.7678 1.5980 1.6587
As 0.0000 3.1960 1.6587
As 0.0000 0.0000 3.6168
As 2.7678 1.5980 5.5749
As 0.0000 3.1960 5.5749
In 0.0000 0.0000 0.0000
Os 2.7678 0.0000 3.6168
Os -1.3839 2.3970 3.6168
Os 1.3839 2.3970 3.6168
```

Results
Energy (eV/f.u.): -56.2
Volume (Å³/cell): 192.0

An optimized crystal structure of TbPrFe2Ge4, computed with PBE-GGA.

The structure in extended XYZ format:
```
8
Lattice="4.4012 0.0000 0.0000 0.0000 4.2211 0.0000 -2.0038 0.0000 7.9750" Properties=species:S:1:pos:R:3 pbc="T T T"
Fe 1.4639 0.0000 0.8875
Fe 0.9520 2.1106 7.1126
Ge 0.8248 2.1106 0.0060
Ge 3.5870 0.0000 0.0441
Ge 1.1623 0.0000 3.1683
Ge 1.2279 2.1106 4.7777
Pr -0.9349 0.0000 5.6313
Tb 3.3104 2.1106 2.2975
```

Results
Energy (eV/f.u.): -48.8
Volume (Å³/cell): 148.2

An optimized crystal structure of HgGePd, computed with PBE-GGA.

The structure in extended XYZ format:
```
3
Lattice="4.2795 0.9495 0.8630 1.1039 2.0900 3.7913 2.1735 -2.2097 3.2177" Properties=species:S:1:pos:R:3 pbc="T T T"
Ge 1.8892 0.2075 1.9680
Hg 5.6677 0.6224 5.9040
Pd 0.0000 0.0000 0.0000
```

Results
Energy (eV/f.u.): -10.3
Volume (Å³/cell): 63.1

An optimized crystal structure of LiMg2Ir, computed with PBE-GGA.

The structure in extended XYZ format:
```
8
Lattice="0.8633 1.0703 4.0157 -3.3966 -2.3901 -0.8760 4.9097 -7.3038 0.8912" Properties=species:S:1:pos:R:3 pbc="T T T"
Ir 1.2274 -1.8260 0.2228
Ir 3.6823 -5.4779 0.6684
Li 0.6708 -1.9091 2.6079
Li 1.7057 -6.7145 1.4230
Mg -1.5130 -1.9263 0.8387
Mg 0.0146 -4.1989 1.1160
Mg 2.3618 -4.4247 2.9149
Mg 3.8895 -6.6973 3.1922
```

Results
Energy (eV/f.u.): -13.7
Volume (Å³/cell): 138.0

An optimized crystal structure of UTc, computed with PBE-GGA.

The structure in extended XYZ format:
```
2
Lattice="0.2967 2.6543 2.7769 -3.1623 1.2666 1.8000 -0.6468 -0.9726 3.6715" Properties=species:S:1:pos:R:3 pbc="T T T"
Tc 0.0000 0.0000 0.0000
U -1.7562 1.4742 4.1242
```

Results
Energy (eV/f.u.): -21.1
Volume (Å³/cell): 40.4
Calculated formation energy (eV/atom): 0.259

An optimized crystal structure of YSi2Ag, computed with PBE-GGA.

The structure in extended XYZ format:
```
4
Lattice="0.0000 3.3876 3.3876 3.3876 0.0000 3.3876 3.3876 3.3876 0.0000" Properties=species:S:1:pos:R:3 pbc="T T T"
Ag 3.3876 3.3876 3.3876
Si 0.0000 0.0000 0.0000
Si 5.0814 5.0814 5.0814
Y 1.6938 1.6938 1.6938
```

Results
Energy (eV/f.u.): -19.9
Volume (Å³/cell): 77.7

An optimized crystal structure of Lu2Nb4Co3N3, computed with PBE-GGA.

The structure in extended XYZ format:
```
24
Lattice="-3.4841 0.1377 -4.1199 -0.6319 -4.3419 -3.1433 -8.0961 -2.8989 10.3474" Properties=species:S:1:pos:R:3 pbc="T T T"
Co -2.6119 -2.5103 0.8873
Co -2.8774 -4.7188 -0.6323
Co -4.6401 -4.5760 -2.6645
Co -7.5721 -2.5271 5.7487
Co -9.3347 -2.3843 3.7165
Co -9.6003 -4.5928 2.1969
Lu -3.1325 -1.9209 -2.1378
Lu -5.5045 -2.9899 -0.1136
Lu -6.7076 -4.1132 3.1978
Lu -9.0796 -5.1822 5.2221
N -1.7420 0.0689 -2.0600
N -1.0317 -2.8519 -2.8042
N -5.7443 -4.9817 1.1899
N -4.3640 -3.6204 3.6021
N -6.4678 -2.1214 1.8943
N -11.1804 -4.2512 5.8884
Nb -1.4603 -0.3558 0.0391
Nb -4.1912 -3.1704 -4.7878
Nb -4.4479 -1.7372 2.5357
Nb -7.1993 -4.5195 -2.2983
Nb -5.0128 -2.5836 5.3825
Nb -7.7642 -5.3659 0.5486
Nb -8.0209 -3.9327 7.8720
Nb -10.7519 -6.7473 3.0451
```

Results
Energy (eV/f.u.): -104.3
Volume (Å³/cell): 330.0

An optimized crystal structure of BaPmIn, computed with PBE-GGA.

The structure in extended XYZ format:
```
3
Lattice="0.0000 3.8526 3.8526 3.8526 0.0000 3.8526 3.8526 3.8526 0.0000" Properties=species:S:1:pos:R:3 pbc="T T T"
Ba 1.9263 1.9263 1.9263
In 5.7789 5.7789 5.7789
Pm 0.0000 0.0000 0.0000
```

Results
Energy (eV/f.u.): -9.0
Volume (Å³/cell): 114.4

An optimized crystal structure of LuB4, computed with PBE-GGA.

The structure in extended XYZ format:
```
20
Lattice="7.0156 0.0000 0.0000 0.0000 7.0156 0.0000 0.0000 0.0000 3.9592" Properties=species:S:1:pos:R:3 pbc="T T T"
B 0.0000 0.0000 0.8011
B 3.5078 3.5078 0.8011
B 1.2440 0.2699 1.9796
B 2.8998 0.6080 1.9796
B 6.7457 1.2440 1.9796
B 3.2379 2.2638 1.9796
B 6.4076 2.8998 1.9796
B 4.7518 3.2379 1.9796
B 2.2638 3.7778 1.9796
B 0.6080 4.1158 1.9796
B 3.7778 4.7518 1.9796
B 0.2699 5.7717 1.9796
B 4.1158 6.4076 1.9796
B 5.7717 6.7457 1.9796
B 0.0000 0.0000 3.1581
B 3.5078 3.5078 3.1581
Lu 4.7862 1.2784 0.0000
Lu 1.2784 2.2294 0.0000
Lu 5.7373 4.7862 0.0000
Lu 2.2294 5.7373 0.0000
```

Results
Energy (eV/f.u.): -34.0
Volume (Å³/cell): 194.9

An optimized crystal structure of HgPd2Au, computed with PBE-GGA.

The structure in extended XYZ format:
```
16
Lattice="-3.0646 -1.9120 5.0905 4.0496 -0.0936 2.4028 -1.3191 8.9635 2.5725" Properties=species:S:1:pos:R:3 pbc="T T T"
Au -1.4449 -0.3782 4.7283
Au 1.7703 2.8544 4.0513
Au -2.1044 4.1036 6.0145
Au 1.1107 7.3362 5.3375
Hg 0.0880 0.5733 2.1818
Hg 0.2373 1.9029 6.5978
Hg -0.5715 5.0551 3.4680
Hg -0.4222 6.3846 7.8840
Pd 2.8651 1.0989 2.1376
Pd 1.3328 0.1429 4.6830
Pd 0.5249 3.2892 1.5514
Pd -1.0074 2.3333 4.0966
Pd 2.2056 5.5807 3.4239
Pd 0.6732 4.6247 5.9692
Pd -0.1347 7.7710 2.8377
Pd -1.6669 6.8151 5.3828
```

Results
Energy (eV/f.u.): -14.6
Volume (Å³/cell): 276.9
Calculated formation energy (eV/atom): -0.165

- Look up the energy of the seventh one.
  -21.1 eV/f.u.

- Among the records above, which one has the lowest volume?
  UTc

- Which value of volume does entry 12 give?
  276.9 Å³/cell